1.
Ca2AlAs at its PBEsol-relaxed geometry. Source: Alexandria via LeMat-Bulk, functional SCAN.

## Properties
- E_form: -0.47 eV/atom
- Symmetry: Fm-3m

Unit cell a=5.139 b=5.139 c=5.139 alpha=60.00 beta=60.00 gamma=60.00
Sites, in units of the cell vectors:
As1 0.500 0.500 0.500
Ca1 0.750 0.750 0.750
Ca2 0.250 0.250 0.250
Al1 0.000 0.000 0.000



2.
TiAlCr2P at its PBEsol-relaxed geometry. Source: Alexandria via LeMat-Bulk, functional SCAN.

## Properties
- E_form: 0.96 eV/atom
- Symmetry: P4/mmm

Unit cell a=4.411 b=4.411 c=4.690 alpha=90.00 beta=90.00 gamma=90.00
Sites, in units of the cell vectors:
Ti1 0.000 0.000 0.500
P1 0.500 0.500 0.500
Al1 0.000 0.000 0.000
Cr1 0.500 0.000 0.000
Cr2 0.000 0.500 0.000



3.
In2FeSiPb at its PBEsol-relaxed geometry. Source: Alexandria via LeMat-Bulk, functional SCAN.

## Properties
- Symmetry: P4/mmm
- Formation energy without anion corrections: 98.11 kJ/mol of atoms

Unit cell a=5.048 b=5.048 c=5.339 alpha=90.00 beta=90.00 gamma=90.00
Sites, in units of the cell vectors:
Fe1 0.500 0.500 0.500
Pb1 0.000 0.000 0.500
In1 0.000 0.500 0.000
In2 0.500 0.000 0.000
Si1 0.000 0.000 0.000



4.
GaPt2PbI at its PBEsol-relaxed geometry. Source: Alexandria via LeMat-Bulk, functional SCAN.

## Properties
- Symmetry: P4/mmm
- Formation energy without anion corrections: 98.15 kJ/mol of atoms

Unit cell a=4.924 b=4.924 c=6.005 alpha=90.00 beta=90.00 gamma=90.00
Sites, in units of the cell vectors:
Pt1 0.000 0.500 0.000
Pb1 0.000 0.000 0.500
I1 0.000 0.000 0.000
Pt2 0.500 0.000 0.000
Ga1 0.500 0.500 0.500



5.
BeSiOs2W at its PBEsol-relaxed geometry. Source: Alexandria via LeMat-Bulk, functional SCAN.

## Properties
- Symmetry: P4/mmm
- Formation energy without anion corrections: 128.11 kJ/mol of atoms

Unit cell a=4.027 b=4.330 c=4.330 alpha=90.00 beta=90.00 gamma=90.00
Sites, in units of the cell vectors:
Si1 0.000 0.000 0.000
Be1 0.500 0.000 0.000
W1 0.500 0.500 0.500
Os1 0.000 0.000 0.500
Os2 0.000 0.500 0.000



6.
ZrAgP2 at its PBEsol-relaxed geometry. Source: Alexandria via LeMat-Bulk, functional SCAN.

## Properties
- E_form: -0.49 eV/atom
- Symmetry: Cm

Unit cell a=3.547 b=3.982 c=5.144 alpha=101.68 beta=110.17 gamma=90.00
Sites, in units of the cell vectors:
Ag1 0.755 0.195 0.509
P1 0.235 0.659 0.470
P2 0.992 0.067 0.984
Zr1 0.518 0.579 0.036



7.
Cr2WSe at its PBEsol-relaxed geometry. Source: Alexandria via LeMat-Bulk, functional SCAN.

## Properties
- Symmetry: R3m
- Formation energy without anion corrections: 52.22 kJ/mol of atoms

Unit cell a=2.884 b=2.884 c=7.895 alpha=79.48 beta=79.48 gamma=60.00
Sites, in units of the cell vectors:
Cr1 0.009 0.009 0.973
W1 0.250 0.250 0.249
Se1 0.497 0.497 0.509
Cr2 0.744 0.744 0.769



8.
CrReIr2 at its PBEsol-relaxed geometry. Source: Alexandria via LeMat-Bulk, functional SCAN.

## Properties
- E_form: -0.29 eV/atom
- Symmetry: Cmmm

Unit cell a=2.681 b=4.638 c=4.638 alpha=109.74 beta=90.00 gamma=90.00
Sites, in units of the cell vectors:
Ir1 0.000 0.500 0.000
Re1 0.500 0.000 0.000
Ir2 0.000 0.000 0.500
Cr1 0.500 0.500 0.500



9.
Li4Bi3O8 at its PBEsol-relaxed geometry. Source: Alexandria via LeMat-Bulk, functional SCAN.

## Properties
- Symmetry: P2_1/m
- Formation energy without anion corrections: -134.26 kJ/mol of atoms

Unit cell a=4.204 b=6.395 c=13.876 alpha=92.21 beta=90.00 gamma=90.00
Sites, in units of the cell vectors:
O1 0.250 0.437 0.179
O2 0.250 0.545 0.667
O3 0.750 0.902 0.338
Bi1 0.250 0.334 0.806
O4 0.250 0.874 0.181
Li1 0.750 0.186 0.396
O5 0.250 0.890 0.956
Li2 0.250 0.814 0.604
Li3 0.750 0.376 0.962
O6 0.750 0.126 0.819
O7 0.250 0.098 0.662
O8 0.750 0.378 0.538
Li4 0.250 0.401 0.323
O9 0.750 0.563 0.821
Bi2 0.750 0.851 0.914
O10 0.750 0.455 0.333
O11 0.250 0.622 0.462
Li5 0.750 0.599 0.677
O12 0.250 0.168 0.417
Li6 0.250 0.954 0.319
Bi3 0.750 0.666 0.194
Bi4 0.250 0.149 0.086
O13 0.250 0.359 0.967
O14 0.750 0.832 0.583
Bi5 0.250 0.315 0.553
O15 0.750 0.110 0.044
Bi6 0.750 0.685 0.447
Li7 0.250 0.624 0.038
O16 0.750 0.641 0.033
Li8 0.750 0.046 0.681



10.
Sb2SNF11 at its PBEsol-relaxed geometry. Source: Alexandria via LeMat-Bulk, functional SCAN.

## Properties
- Symmetry: P2_1/c
- Formation energy without anion corrections: -186.80 kJ/mol of atoms

Unit cell a=8.004 b=10.311 c=11.672 alpha=90.00 beta=90.00 gamma=94.00
Sites, in units of the cell vectors:
F1 0.290 0.335 0.611
F2 0.934 0.450 0.169
F3 0.089 0.217 0.451
F4 0.911 0.783 0.549
F5 0.290 0.835 0.889
F6 0.358 0.209 0.297
N1 0.743 0.612 0.896
F7 0.628 0.386 0.018
N2 0.743 0.112 0.604
F8 0.726 0.063 0.899
F9 0.124 0.057 0.904
F10 0.234 0.827 0.667
F11 0.613 0.960 0.240
F12 0.766 0.673 0.167
F13 0.372 0.114 0.518
F14 0.551 0.831 0.026
Sb1 0.825 0.047 0.223
F15 0.274 0.437 0.399
F16 0.710 0.665 0.389
F17 0.766 0.173 0.333
S1 0.204 0.775 0.460
F18 0.934 0.950 0.331
F19 0.274 0.937 0.101
Sb2 0.175 0.953 0.777
F20 0.911 0.283 0.951
F21 0.449 0.669 0.526
Sb3 0.678 0.230 0.946
F22 0.066 0.550 0.831
F23 0.551 0.331 0.474
F24 0.980 0.843 0.812
F25 0.387 0.540 0.740
S2 0.796 0.225 0.540
S3 0.204 0.275 0.040
F26 0.358 0.709 0.203
F27 0.710 0.165 0.111
F28 0.089 0.717 0.049
Sb4 0.825 0.547 0.277
F29 0.876 0.943 0.096
Sb5 0.322 0.770 0.054
Sb6 0.175 0.453 0.723
F30 0.372 0.614 0.982
F31 0.449 0.169 0.974
N3 0.257 0.388 0.104
F32 0.628 0.886 0.482
Sb7 0.678 0.730 0.554
F33 0.124 0.557 0.596
F34 0.020 0.157 0.188
F35 0.726 0.563 0.601
F36 0.980 0.343 0.688
F37 0.613 0.460 0.260
Sb8 0.322 0.270 0.446
F38 0.234 0.327 0.833
F39 0.876 0.443 0.404
S4 0.796 0.725 0.960
F40 0.387 0.040 0.760
F41 0.066 0.050 0.669
F42 0.642 0.791 0.703
F43 0.642 0.291 0.797
F44 0.020 0.657 0.312
N4 0.257 0.888 0.396



11.
PtW2 at its PBEsol-relaxed geometry. Source: Alexandria via LeMat-Bulk, functional SCAN.

## Properties
- E_form: -0.10 eV/atom
- Symmetry: I4/mmm

Unit cell a=2.697 b=2.697 c=6.614 alpha=101.76 beta=101.76 gamma=90.00
Sites, in units of the cell vectors:
Pt1 0.500 0.500 0.000
W1 0.163 0.163 0.325
W2 0.837 0.837 0.675



12.
CaRe2Rh at its PBEsol-relaxed geometry. Source: Alexandria via LeMat-Bulk, functional SCAN.

## Properties
- E_form: 0.71 eV/atom
- Symmetry: P4/mmm

Unit cell a=3.227 b=3.227 c=6.908 alpha=90.00 beta=90.00 gamma=90.00
Sites, in units of the cell vectors:
Re1 0.000 0.000 0.820
Re2 0.000 0.000 0.180
Rh1 0.500 0.500 0.000
Ca1 0.500 0.500 0.500



Number 1: density of states at the Fermi level 2.28 states/eV/f.u., calculated density 3.15 g/cm3. Number 2: density of states at the Fermi level 3.12 states/eV/f.u., calculated density 3.82 g/cm3. Number 3: density of states at the Fermi level 4.53 states/eV/f.u., calculated density 6.36 g/cm3. Number 4: density of states at the Fermi level 3.41 states/eV/f.u., calculated density 9.06 g/cm3. Number 5: density of states at the Fermi level 3.21 states/eV/f.u., calculated density 13.23 g/cm3. Number 6: density of states at the Fermi level 1.41 states/eV/f.u., calculated density 6.51 g/cm3. Number 7: density of states at the Fermi level 3.75 states/eV/f.u., calculated density 10.96 g/cm3. Number 8: density of states at the Fermi level 3.24 states/eV/f.u., calculated density 19.05 g/cm3. Number 9: density of states at the Fermi level 3.84 states/eV/f.u., calculated density 6.97 g/cm3. Number 10: density of states at the Fermi level 0.00 states/eV/f.u., calculated density 3.45 g/cm3. Number 11: density of states at the Fermi level 1.83 states/eV/f.u., calculated density 20.29 g/cm3. Number 12: density of states at the Fermi level 3.06 states/eV/f.u., calculated density 11.90 g/cm3.